# ZnCrSe

A geometry-optimized ZnCrSe structure (PBE-GGA, the Alexandria database).

Values from the calculation:
- Crystal system: cubic
- Raw total energy: -4.44 eV per atom
- Uncorrected formation energy: 1.05 eV/f.u.
- D(E_F): 0.858 states/eV per atom
- Magnetization: 17.878 Bohr magnetons per cell

a b c (Å): 6.3300 6.3300 6.3300
angles (deg): 90.00 90.00 90.00
Last column: nearest neighbours and their distance in Å.
Space group F-43m (No. 216)
One atom of each set of equivalent atoms:
1 Zn 0.0000 0.0000 0.0000 [4 per cell]  4 Se 2.74
2 Cr 0.0000 0.0000 0.5000 [4 per cell]  4 Se 2.74
3 Se 0.2500 0.2500 0.2500 [4 per cell]  4 Cr 2.74, 4 Zn 2.74